*a*
# NdErTlHg

A relaxed structure of NdErTlHg (PBE, the Alexandria database).

a b c (Å): 3.788 3.788 7.680
angles (deg): 90.00 90.00 90.00
Fractional positions:
Nd 0.000 0.000 0.000
Er 0.000 0.000 0.481
Tl 0.500 0.500 0.728
Hg 0.500 0.500 0.264

Results
Density of states at the Fermi level = 4.1 states/eV/cell
Calculated volume = 27.544 Å³ per atom
Total magnetic moment = 0.60 μB/f.u.

---

*b*
# NdErTlHg

A relaxed structure of NdErTlHg (PBE, the Alexandria database).

a b c (Å): 5.387 5.387 5.387
angles (deg): 60.00 60.00 60.00
Fractional positions:
Nd 0.000 0.000 0.000
Er 0.500 0.500 0.500
Tl 0.250 0.250 0.250
Hg 0.750 0.750 0.750

Results
Density of states at the Fermi level = 4.2 states/eV/cell
Calculated volume = 27.633 Å³ per atom
Total magnetic moment = 0.60 μB/f.u.

---

Most stable = *a*

---

*a*
# NdYErHg

A relaxed structure of NdYErHg (PBE, the Alexandria database).

a b c (Å): 3.632 3.632 8.935
angles (deg): 90.00 90.00 90.00
Fractional positions:
Nd 0.000 0.000 0.000
Y 0.500 0.500 0.713
Er 0.500 0.500 0.281
Hg 0.000 0.000 0.492

Results
Density of states at the Fermi level = 4.1 states/eV/cell
Calculated volume = 29.466 Å³ per atom
Total magnetic moment = 0.00 μB/f.u.

---

*b*
# NdYErHg

A relaxed structure of NdYErHg (PBE, the Alexandria database).

a b c (Å): 5.462 5.462 5.462
angles (deg): 60.00 60.00 60.00
Fractional positions:
Nd 0.000 0.000 0.000
Y 0.500 0.500 0.500
Er 0.750 0.750 0.750
Hg 0.250 0.250 0.250

Results
Density of states at the Fermi level = 5.5 states/eV/cell
Calculated volume = 28.807 Å³ per atom
Total magnetic moment = 0.10 μB/f.u.

---

Most stable = *a*